1.
## Tm6GaOs (PBE-GGA)

Data for crystalline Tm6GaOs at its relaxed geometry.

Properties
ΔE to the lowest computed polymorph	0.000	eV/f.u.

a = 9.4594 Å, b = 9.4594 Å, c = 9.4594 Å
α = 150.42°, β = 150.42°, γ = 42.32°
Last column: nearest neighbours and their distance in Å.
Fractional coordinates of all 8 atoms:
Tm1 0.0966 0.5966 0.5000  2 Os 2.96, 2 Ga 2.96
Tm2 0.2490 0.2490 0.0000  12 Tm 3.41-3.64
Tm3 0.4034 0.9034 0.5000  2 Os 2.96, 2 Ga 2.96
Tm4 0.5966 0.0966 0.5000  2 Os 2.96, 2 Ga 2.96
Tm5 0.7510 0.7510 0.0000  12 Tm 3.41-3.64
Tm6 0.9034 0.4034 0.5000  2 Os 2.96, 2 Ga 2.96
Ga1 0.0000 0.0000 0.0000  8 Tm 2.96
Os1 0.5000 0.5000 0.0000  8 Tm 2.96


2.
## Tm5Ga2Os (PBE-GGA)

Data for crystalline Tm5Ga2Os at its relaxed geometry.

a = 8.9396 Å, b = 8.9396 Å, c = 8.9396 Å
α = 132.72°, β = 132.72°, γ = 69.09°
Last column: nearest neighbours and their distance in Å.
Fractional coordinates of all 16 atoms:
Tm1 0.0000 0.0000 0.0000  4 Ga 2.85
Tm2 0.0248 0.5248 0.8543  2 Os 3.01, 3 Ga 3.04-3.12, 1 Tm 3.23
Tm3 0.1705 0.0248 0.5000  2 Os 3.01, 3 Ga 3.04-3.12, 1 Tm 3.23
Tm4 0.3295 0.8295 0.8543  2 Os 3.01, 3 Ga 3.04-3.12, 1 Tm 3.23
Tm5 0.4752 0.3295 0.5000  2 Os 3.01, 3 Ga 3.04-3.12, 1 Tm 3.23
Tm6 0.5000 0.5000 0.0000  4 Ga 2.85
Tm7 0.5248 0.6705 0.5000  2 Os 3.01, 3 Ga 3.04-3.12, 1 Tm 3.23
Tm8 0.6705 0.1705 0.1457  2 Os 3.01, 3 Ga 3.04-3.12, 1 Tm 3.23
Tm9 0.8295 0.9752 0.5000  2 Os 3.01, 3 Ga 3.04-3.12, 1 Tm 3.23
Tm10 0.9752 0.4752 0.1457  2 Os 3.01, 3 Ga 3.04-3.12, 1 Tm 3.23
Ga1 0.1209 0.3791 0.5000  1 Ga 2.45
Ga2 0.3791 0.8791 0.2582  1 Ga 2.45
Ga3 0.6209 0.1209 0.7418  1 Ga 2.45
Ga4 0.8791 0.6209 0.5000  1 Ga 2.45
Os1 0.2500 0.2500 0.0000  8 Tm 3.01
Os2 0.7500 0.7500 0.0000  8 Tm 3.01


3.
## Tm2Ga3Os (PBE-GGA)

Data for crystalline Tm2Ga3Os at its relaxed geometry.

a = 6.0913 Å, b = 6.0913 Å, c = 6.0913 Å
α = 135.59°, β = 127.72°, γ = 70.96°
Last column: nearest neighbours and their distance in Å.
Fractional coordinates of all 6 atoms:
Tm1 0.2023 0.2023 0.0000  6 Ga 2.79-3.05, 1 Os 2.95
Tm2 0.7977 0.7977 0.0000  6 Ga 2.79-3.05, 1 Os 2.95
Ga1 0.0000 0.5000 0.5000  2 Os 2.68
Ga2 0.3741 0.8741 0.5000  1 Ga 2.50, 2 Os 2.62, 2 Tm 2.79
Ga3 0.6259 0.1259 0.5000  1 Ga 2.50, 2 Os 2.62, 2 Tm 2.79
Os1 0.5000 0.5000 0.0000  6 Ga 2.62-2.68


4.
## Tm2Ga5Os (PBE-GGA)

Data for crystalline Tm2Ga5Os at its relaxed geometry.

a = 5.9446 Å, b = 5.9446 Å, c = 5.9446 Å
α = 117.86°, β = 117.86°, γ = 93.75°
Last column: nearest neighbours and their distance in Å.
Fractional coordinates of all 8 atoms:
Tm1 0.0000 0.5000 0.5000  10 Ga 2.96-3.07
Tm2 0.5000 0.0000 0.5000  10 Ga 2.96-3.07
Ga1 0.4894 0.4894 0.0000  1 Os 2.47
Ga2 0.5321 0.5321 0.5755  1 Os 2.54, 3 Ga 2.60-2.77
Ga3 0.5321 0.9566 0.0000  1 Os 2.54, 3 Ga 2.60-2.77
Ga4 0.9566 0.5321 0.0000  1 Os 2.54, 3 Ga 2.60-2.77
Ga5 0.9566 0.9566 0.4245  1 Os 2.54, 3 Ga 2.60-2.77
Os1 0.1860 0.1860 0.0000  5 Ga 2.47-2.54


5.
## Tm3Ga3Os (PBE-GGA)

Data for crystalline Tm3Ga3Os at its relaxed geometry.

a = 5.7840 Å, b = 5.7840 Å, c = 14.1228 Å
α = 107.82°, β = 107.82°, γ = 41.96°
Last column: nearest neighbours and their distance in Å.
Fractional coordinates of all 14 atoms:
Tm1 0.0292 0.0292 0.3817  6 Ga 2.97-3.16, 3 Os 3.02-3.21
Tm2 0.1090 0.1090 0.9224  7 Ga 2.99-3.15
Tm3 0.2407 0.2407 0.2397  6 Ga 2.98-3.17, 2 Os 3.02
Tm4 0.7593 0.7593 0.7603  6 Ga 2.98-3.17, 2 Os 3.02
Tm5 0.8910 0.8910 0.0776  7 Ga 2.99-3.15
Tm6 0.9708 0.9708 0.6183  6 Ga 2.97-3.16, 3 Os 3.02-3.21
Ga1 0.3662 0.3662 0.4616  3 Os 2.50-2.62, 1 Ga 2.74
Ga2 0.3903 0.3903 0.9246  2 Ga 2.61-2.62
Ga3 0.4691 0.4691 0.7686  1 Ga 2.61, 1 Os 2.64
Ga4 0.5309 0.5309 0.2314  1 Ga 2.61, 1 Os 2.64
Ga5 0.6097 0.6097 0.0754  2 Ga 2.61-2.62
Ga6 0.6338 0.6338 0.5384  3 Os 2.50-2.62, 1 Ga 2.74
Os1 0.2618 0.2618 0.6052  4 Ga 2.50-2.64
Os2 0.7382 0.7382 0.3948  4 Ga 2.50-2.64


6.
## Tm3Ga7Os2 (PBE-GGA)

Data for crystalline Tm3Ga7Os2 at its relaxed geometry.

a = 11.5743 Å, b = 11.5743 Å, c = 4.6434 Å
α = 90.00°, β = 90.00°, γ = 156.73°
Last column: nearest neighbours and their distance in Å.
Fractional coordinates of all 12 atoms:
Tm1 0.0000 0.0000 0.0000  12 Ga 3.08-3.29
Tm2 0.1809 0.8191 0.0000  10 Ga 3.11-3.42
Tm3 0.8191 0.1809 0.0000  10 Ga 3.11-3.42
Ga1 0.0900 0.9100 0.5000  2 Os 2.39
Ga2 0.2790 0.7210 0.5000  1 Os 2.48, 2 Ga 2.68
Ga3 0.4112 0.5888 0.0000  2 Os 2.38
Ga4 0.5000 0.5000 0.5000  2 Os 2.53
Ga5 0.5888 0.4112 0.0000  2 Os 2.38
Ga6 0.7210 0.2790 0.5000  1 Os 2.48, 2 Ga 2.68
Ga7 0.9100 0.0900 0.5000  2 Os 2.39
Os1 0.3883 0.6117 0.5000  6 Ga 2.38-2.53
Os2 0.6117 0.3883 0.5000  6 Ga 2.38-2.53


7.
## Tm8GaOs2 (PBE-GGA)

Data for crystalline Tm8GaOs2 at its relaxed geometry.

a = 7.7074 Å, b = 7.7074 Å, c = 5.4014 Å
α = 98.10°, β = 98.10°, γ = 112.14°
Last column: nearest neighbours and their distance in Å.
Fractional coordinates of all 11 atoms:
Tm1 0.0000 0.0000 0.0000  2 Os 2.92, 1 Ga 3.15
Tm2 0.0456 0.3127 0.6100  2 Os 2.83-2.85
Tm3 0.1372 0.6173 0.1967  2 Os 2.86-2.87, 1 Ga 3.07
Tm4 0.3127 0.0456 0.6100  2 Os 2.83-2.85
Tm5 0.4417 0.7089 0.7831  2 Os 2.83-2.85
Tm6 0.6173 0.1372 0.1967  2 Os 2.86-2.87, 1 Ga 3.07
Tm7 0.7089 0.4417 0.7831  2 Os 2.83-2.85
Tm8 0.7538 0.7538 0.3931  2 Os 2.92, 1 Ga 3.15
Ga1 0.3769 0.3769 0.2001  4 Tm 3.07-3.15
Os1 0.0621 0.6921 0.6964  8 Tm 2.83-2.92
Os2 0.6921 0.0621 0.6964  8 Tm 2.83-2.92


8.
## Tm2GaOs (PBE-GGA)

Data for crystalline Tm2GaOs at its relaxed geometry.

Properties
ΔE to the lowest computed polymorph	0.244	eV/f.u.

a = 4.8561 Å, b = 4.8561 Å, c = 4.8561 Å
α = 60.00°, β = 60.00°, γ = 60.00°
Last column: nearest neighbours and their distance in Å.
Fractional coordinates of all 4 atoms:
Tm1 0.2500 0.2500 0.2500  4 Os 2.97, 4 Ga 2.97
Tm2 0.7500 0.7500 0.7500  4 Os 2.97, 4 Ga 2.97
Ga1 0.0000 0.0000 0.0000  8 Tm 2.97
Os1 0.5000 0.5000 0.5000  8 Tm 2.97


9.
## Tm4Ga12Os (PBE-GGA)

Data for crystalline Tm4Ga12Os at its relaxed geometry.

a = 7.4164 Å, b = 7.4164 Å, c = 7.4164 Å
α = 109.47°, β = 109.47°, γ = 109.47°
Last column: nearest neighbours and their distance in Å.
Fractional coordinates of all 17 atoms:
Tm1 0.0000 0.0000 0.5000  12 Ga 3.03-3.05
Tm2 0.0000 0.5000 0.0000  12 Ga 3.03-3.05
Tm3 0.5000 0.0000 0.0000  12 Ga 3.03-3.05
Tm4 0.5000 0.5000 0.5000  12 Ga 3.03-3.05
Ga1 0.0000 0.2922 0.2922  1 Os 2.50, 4 Ga 2.78
Ga2 0.0000 0.7078 0.7078  1 Os 2.50, 4 Ga 2.78
Ga3 0.2500 0.5000 0.7500  8 Ga 2.78-3.03, 4 Tm 3.03
Ga4 0.2500 0.7500 0.5000  8 Ga 2.78-3.03, 4 Tm 3.03
Ga5 0.2922 0.0000 0.2922  1 Os 2.50, 4 Ga 2.78
Ga6 0.2922 0.2922 0.0000  1 Os 2.50, 4 Ga 2.78
Ga7 0.5000 0.2500 0.7500  8 Ga 2.78-3.03, 4 Tm 3.03
Ga8 0.5000 0.7500 0.2500  8 Ga 2.78-3.03, 4 Tm 3.03
Ga9 0.7078 0.0000 0.7078  1 Os 2.50, 4 Ga 2.78
Ga10 0.7078 0.7078 0.0000  1 Os 2.50, 4 Ga 2.78
Ga11 0.7500 0.2500 0.5000  8 Ga 2.78-3.03, 4 Tm 3.03
Ga12 0.7500 0.5000 0.2500  8 Ga 2.78-3.03, 4 Tm 3.03
Os1 0.0000 0.0000 0.0000  6 Ga 2.50


10.
## Tm6Ga2Os (PBE-GGA)

Data for crystalline Tm6Ga2Os at its relaxed geometry.

Properties
ΔE to the lowest computed polymorph	0.819	eV/f.u.

a = 8.3429 Å, b = 8.3429 Å, c = 8.3429 Å
α = 146.05°, β = 131.07°, γ = 60.89°
Last column: nearest neighbours and their distance in Å.
Fractional coordinates of all 9 atoms:
Tm1 0.0852 0.3408 0.7444  1 Os 2.84, 3 Ga 3.01
Tm2 0.2348 0.0000 0.2348  2 Os 2.93, 2 Ga 3.03, 1 Tm 3.24
Tm3 0.4035 0.6592 0.7444  1 Os 2.84, 3 Ga 3.01
Tm4 0.5965 0.3408 0.2556  1 Os 2.84, 3 Ga 3.01
Tm5 0.7652 0.0000 0.7652  2 Os 2.93, 2 Ga 3.03, 1 Tm 3.24
Tm6 0.9148 0.6592 0.2556  1 Os 2.84, 3 Ga 3.01
Ga1 0.3324 0.8324 0.5000  8 Tm 3.01-3.03
Ga2 0.6676 0.1676 0.5000  8 Tm 3.01-3.03
Os1 0.0000 0.5000 0.5000  8 Tm 2.84-2.93


Number 1: energy of formation -151 kJ/mol of formula units, total DFT energy (no corrections) -0.1959 hartree per atom. Number 2: energy of formation -323 kJ/mol of formula units, total DFT energy (no corrections) -0.1975 hartree per atom. Number 3: energy of formation -103 kJ/mol of formula units, total DFT energy (no corrections) -0.1857 hartree per atom. Number 4: energy of formation -244 kJ/mol of formula units, total DFT energy (no corrections) -0.1738 hartree per atom. Number 5: energy of formation -364 kJ/mol of formula units, total DFT energy (no corrections) -0.1969 hartree per atom. Number 6: energy of formation -278 kJ/mol of formula units, total DFT energy (no corrections) -0.1836 hartree per atom. Number 7: energy of formation -270 kJ/mol of formula units, total DFT energy (no corrections) -0.2140 hartree per atom. Number 8: energy of formation -159 kJ/mol of formula units, total DFT energy (no corrections) -0.2283 hartree per atom. Number 9: energy of formation -835 kJ/mol of formula units, total DFT energy (no corrections) -0.1602 hartree per atom. Number 10: energy of formation -241 kJ/mol of formula units, total DFT energy (no corrections) -0.1903 hartree per atom.